Here is a crystal of SrInPt2Rh relaxed with PBEsol from Alexandria via LeMat-Bulk. Energies are from SCAN.

DFT formation energy = 0.2308 eV/atom
calculated total energy = -228.665 eV/cell
total moment = 0.00 μB per atom

abc: 4.944 4.944 4.866
angles: 90.00 90.00 90.00
Atoms (fractional coordinates):
Sr 0.000 0.000 0.000
In 0.500 0.500 0.500
Pt 0.000 0.500 0.500
Pt 0.500 0.000 0.500
Rh 0.500 0.500 0.000